Crystalline RbNaBF6 at its relaxed geometry. Source: Alexandria via LeMat-Bulk, functional GGA-PBE.

Cell lengths 5.4737, 5.4740, 5.6236 Å; angles 90.00, 90.00, 59.99 degrees
Last column: magnetic moment on the atom in μB.
Fractional coordinates of all 9 atoms:
Rb (0.9999, 0.0000, 0.0000)  0.00
Na (0.6667, 0.6667, 0.5000)  0.00
B (0.3337, 0.3333, 0.5000)  -0.01
F (0.0905, 0.3358, 0.3335)  0.16
F (0.3356, 0.0907, 0.6664)  0.16
F (0.5735, 0.3357, 0.6664)  0.16
F (0.0905, 0.5737, 0.6664)  0.16
F (0.3356, 0.5736, 0.3336)  0.16
F (0.5736, 0.0907, 0.3336)  0.16

Output
- VASP energy: -40.419 eV/cell
- Raw formation energy: -2247 meV/atom


Crystalline Ba3PbAu2 at its relaxed geometry. Source: Alexandria via LeMat-Bulk, functional GGA-PBE.

Cell lengths 4.0667, 4.0667, 12.7276 Å; angles 90.00, 90.00, 90.00 degrees
Fractional coordinates of all 6 atoms:
Ba (0.0000, 0.0000, 0.0000)
Ba (0.0000, 0.0000, 0.6856)
Ba (0.0000, 0.0000, 0.3144)
Pb (0.5000, 0.5000, 0.5000)
Au (0.5000, 0.5000, 0.8445)
Au (0.5000, 0.5000, 0.1555)

Output
- ΔH_f (0 K): -14.9 kcal/mol of atoms
- VASP energy: -19.910 eV/cell


Crystalline Cs2HgHAu at its relaxed geometry. Source: Alexandria via LeMat-Bulk, functional GGA-PBE.

Cell lengths 5.9263, 5.9263, 5.0176 Å; angles 90.00, 90.00, 90.00 degrees
Fractional coordinates of all 5 atoms:
Cs (0.0000, 0.5000, 0.0000)
Cs (0.5000, 0.0000, 0.0000)
H (0.0000, 0.0000, 0.0000)
Au (0.5000, 0.5000, 0.5000)
Hg (0.0000, 0.0000, 0.5000)

Output
- Energy relative to the lowest polymorph listed for this composition: 0.289 eV per formula unit
- VASP energy: -9.292 eV/cell


Crystalline LiNiCl2 at its relaxed geometry. Source: Alexandria via LeMat-Bulk, functional GGA-PBE.

Cell lengths 7.3543, 7.3543, 7.3543 Å; angles 28.61, 28.61, 28.61 degrees
Last column: magnetic moment on the atom in μB.
Fractional coordinates of all 4 atoms:
Ni (0.0000, 0.0000, 0.0000)  0.95
Li (0.5000, 0.5000, 0.5000)  0.00
Cl (0.8992, 0.8992, 0.8992)  0.02
Cl (0.1008, 0.1008, 0.1008)  0.02

Output
- Energy relative to the lowest polymorph listed for this composition: 0.226 eV per formula unit
- VASP energy: -14.738 eV/cell
- Raw formation energy: -837 meV/atom


Crystalline TbYMnRu at its relaxed geometry. Source: Alexandria via LeMat-Bulk, functional GGA-PBE.

Cell lengths 4.9268, 4.9268, 4.9268 Å; angles 60.00, 60.00, 60.00 degrees
Last column: magnetic moment on the atom in μB.
Fractional coordinates of all 4 atoms:
Y (0.5000, 0.5000, 0.5000)  -0.11
Ru (0.2500, 0.2500, 0.2500)  0.25
Mn (0.7500, 0.7500, 0.7500)  3.55
Tb (0.0000, 0.0000, 0.0000)  -0.15

Output
- ΔH_f (0 K): -1.2 kcal/mol of atoms
- VASP energy: -29.749 eV/cell


Crystalline CuReP4 at its relaxed geometry. Source: Alexandria via LeMat-Bulk, functional GGA-PBE.

Cell lengths 4.8986, 4.8986, 4.8986 Å; angles 60.00, 60.00, 60.00 degrees
Fractional coordinates of all 6 atoms:
Cu (0.0000, 0.0000, 0.0000)
Re (0.7500, 0.7500, 0.7500)
P (0.8734, 0.3755, 0.3755)
P (0.3755, 0.3755, 0.8734)
P (0.3755, 0.8734, 0.3755)
P (0.3755, 0.3755, 0.3755)

Output
- ΔH_f (0 K): 21.7 kcal/mol of atoms
- VASP energy: -32.531 eV/cell


Crystalline Tl2TeAs at its relaxed geometry. Source: Alexandria via LeMat-Bulk, functional GGA-PBE.

Cell lengths 5.4318, 5.4318, 5.4318 Å; angles 60.00, 60.00, 60.00 degrees
Fractional coordinates of all 4 atoms:
Tl (0.0000, 0.0000, 0.0000)
Tl (0.2500, 0.2500, 0.2500)
Te (0.7500, 0.7500, 0.7500)
As (0.5000, 0.5000, 0.5000)

Output
- Energy relative to the lowest polymorph listed for this composition: 0.728 eV per formula unit
- VASP energy: -11.765 eV/cell
- Raw formation energy: 190 meV/atom


Crystalline Cs12CdAu6 at its relaxed geometry. Source: Alexandria via LeMat-Bulk, functional GGA-PBE.

Cell lengths 11.3542, 11.3542, 11.3542 Å; angles 109.47, 109.47, 109.47 degrees
Fractional coordinates of all 19 atoms:
Cs (0.3167, 0.1376, 0.8209)
Cs (0.3167, 0.4959, 0.1791)
Cs (0.6833, 0.5041, 0.8209)
Cs (0.6833, 0.8624, 0.1791)
Cs (0.1376, 0.8209, 0.3167)
Cs (0.4959, 0.1791, 0.3167)
Cs (0.5041, 0.8209, 0.6833)
Cs (0.8624, 0.1791, 0.6833)
Cs (0.8209, 0.3167, 0.1376)
Cs (0.1791, 0.3167, 0.4959)
Cs (0.8209, 0.6833, 0.5041)
Cs (0.1791, 0.6833, 0.8624)
Cd (0.0000, 0.0000, 0.0000)
Au (0.3888, 0.5000, 0.8888)
Au (0.6112, 0.5000, 0.1112)
Au (0.5000, 0.8888, 0.3888)
Au (0.5000, 0.1112, 0.6112)
Au (0.8888, 0.3888, 0.5000)
Au (0.1112, 0.6112, 0.5000)

Output
- ΔH_f (0 K): -5.1 kcal/mol of atoms
- VASP energy: -34.995 eV/cell


Crystalline Pm3BiPd at its relaxed geometry. Source: Alexandria via LeMat-Bulk, functional GGA-PBE.

Cell lengths 5.5319, 5.5319, 5.5319 Å; angles 90.00, 90.00, 90.00 degrees
Fractional coordinates of all 5 atoms:
Bi (0.5000, 0.5000, 0.5000)
Pd (0.0000, 0.0000, 0.0000)
Pm (0.0000, 0.5000, 0.0000)
Pm (0.0000, 0.0000, 0.5000)
Pm (0.5000, 0.0000, 0.0000)

Output
- Energy relative to the lowest polymorph listed for this composition: 0.817 eV per formula unit
- ΔH_f (0 K): -8.9 kcal/mol of atoms
- VASP energy: -25.250 eV/cell


Crystalline CuNi4Rh3 at its relaxed geometry. Source: Alexandria via LeMat-Bulk, functional GGA-PBE.

Cell lengths 3.7050, 3.7050, 7.7523 Å; angles 103.81, 103.81, 90.00 degrees
Last column: magnetic moment on the atom in μB.
Fractional coordinates of all 8 atoms:
Ni (0.3759, 0.3759, 0.7517)  0.78
Ni (0.6241, 0.6241, 0.2483)  0.78
Ni (0.1241, 0.1241, 0.2483)  0.78
Ni (0.8759, 0.8759, 0.7517)  0.78
Rh (0.0000, 0.5000, 0.0000)  0.73
Rh (0.7480, 0.2480, 0.4961)  0.79
Rh (0.2520, 0.7520, 0.5039)  0.79
Cu (0.5000, 0.0000, 0.0000)  0.15

Output
- Energy relative to the lowest polymorph listed for this composition: 0.000 eV per formula unit
- ΔH_f (0 K): 1.5 kcal/mol of atoms
- VASP energy: -48.771 eV/cell


Crystalline PmScSb at its relaxed geometry. Source: Alexandria via LeMat-Bulk, functional GGA-PBE.

Cell lengths 4.0290, 4.9007, 4.9007 Å; angles 120.00, 90.00, 90.00 degrees
Fractional coordinates of all 3 atoms:
Sc (0.8650, 0.0000, 0.0000)
Sb (0.7842, 0.6667, 0.3333)
Pm (0.3507, 0.3333, 0.6667)

Output
- Energy relative to the lowest polymorph listed for this composition: 1.079 eV per formula unit
- VASP energy: -16.767 eV/cell
- Raw formation energy: -521 meV/atom


Crystalline Mg2ZrCuOs at its relaxed geometry. Source: Alexandria via LeMat-Bulk, functional GGA-PBE.

Cell lengths 5.2570, 4.6302, 5.2570 Å; angles 90.00, 90.00, 90.00 degrees
Last column: magnetic moment on the atom in μB.
Fractional coordinates of all 5 atoms:
Mg (0.0000, 0.0000, 0.5000)  0.02
Mg (0.5000, 0.0000, 0.0000)  0.04
Os (0.5000, 0.5000, 0.5000)  2.34
Cu (0.0000, 0.5000, 0.0000)  0.08
Zr (0.0000, 0.0000, 0.0000)  0.79

Output
- Energy relative to the lowest polymorph listed for this composition: 6.813 eV per formula unit
- ΔH_f (0 K): 49.1 kcal/mol of atoms
- VASP energy: -16.416 eV/cell


Crystalline CdGa3Pd at its relaxed geometry. Source: Alexandria via LeMat-Bulk, functional GGA-PBE.

Cell lengths 4.8765, 4.8765, 4.8765 Å; angles 90.00, 90.00, 90.00 degrees
Fractional coordinates of all 5 atoms:
Ga (0.0000, 0.5000, 0.0000)
Ga (0.0000, 0.0000, 0.5000)
Ga (0.5000, 0.0000, 0.0000)
Pd (0.0000, 0.0000, 0.0000)
Cd (0.5000, 0.5000, 0.5000)

Output
- Energy relative to the lowest polymorph listed for this composition: 0.314 eV per formula unit
- ΔH_f (0 K): -1.4 kcal/mol of atoms
- VASP energy: -15.495 eV/cell


Crystalline Sr2DyReO8 at its relaxed geometry. Source: Alexandria via LeMat-Bulk, functional GGA-PBE.

Cell lengths 5.5492, 4.6340, 6.6327 Å; angles 75.16, 96.01, 89.24 degrees
Fractional coordinates of all 12 atoms:
Sr (0.5114, 0.4035, 0.7808)
Sr (0.4886, 0.5965, 0.2192)
Dy (0.0000, 0.0000, 0.5000)
Re (0.0000, 0.0000, 0.0000)
O (0.0575, 0.7062, 0.2786)
O (0.7093, 0.8347, 0.9297)
O (0.8312, 0.2298, 0.1436)
O (0.9425, 0.2938, 0.7214)
O (0.2908, 0.1653, 0.0703)
O (0.1688, 0.7702, 0.8564)
O (0.5884, 0.8775, 0.4977)
O (0.4116, 0.1225, 0.5023)

Output
- VASP energy: -86.669 eV/cell
- Raw formation energy: -2216 meV/atom


Crystalline Li7Zn2Ag at its relaxed geometry. Source: Alexandria via LeMat-Bulk, functional GGA-PBE.

Cell lengths 4.4650, 4.4650, 9.7784 Å; angles 90.00, 90.00, 120.00 degrees
Fractional coordinates of all 10 atoms:
Li (0.6667, 0.3333, 0.6055)
Li (0.6667, 0.3333, 0.8522)
Li (0.0000, 0.0000, 0.6382)
Li (0.0000, 0.0000, 0.2557)
Li (0.3333, 0.6667, 0.4483)
Li (0.3333, 0.6667, 0.0660)
Li (0.6667, 0.3333, 0.0972)
Zn (0.3333, 0.6667, 0.7668)
Zn (0.6667, 0.3333, 0.3517)
Ag (0.0000, 0.0000, 0.9349)

Output
- Energy relative to the lowest polymorph listed for this composition: 0.043 eV per formula unit
- ΔH_f (0 K): -1.3 kcal/mol of atoms
- VASP energy: -19.346 eV/cell


Crystalline Ce5HgAu4 at its relaxed geometry. Source: Alexandria via LeMat-Bulk, functional GGA-PBE.

Cell lengths 3.6730, 3.6730, 19.0367 Å; angles 90.00, 90.00, 90.00 degrees
Last column: magnetic moment on the atom in μB.
Fractional coordinates of all 10 atoms:
Ce (0.5000, 0.5000, 0.1095)  0.91
Ce (0.5000, 0.5000, 0.3042)  0.88
Ce (0.5000, 0.5000, 0.5000)  0.87
Ce (0.5000, 0.5000, 0.6958)  0.88
Ce (0.5000, 0.5000, 0.8905)  0.91
Hg (0.0000, 0.0000, 0.0000)  0.02
Au (0.0000, 0.0000, 0.2050)  0.00
Au (0.0000, 0.0000, 0.4021)  0.00
Au (0.0000, 0.0000, 0.5979)  0.00
Au (0.0000, 0.0000, 0.7950)  0.00

Output
- ΔH_f (0 K): -12.3 kcal/mol of atoms
- VASP energy: -48.406 eV/cell


Crystalline Cs3RbTl2I6 at its relaxed geometry. Source: Alexandria via LeMat-Bulk, functional GGA-PBE.

Cell lengths 9.2208, 9.2208, 9.2277 Å; angles 99.59, 99.59, 120.01 degrees
Fractional coordinates of all 12 atoms:
Cs (0.1657, 0.8343, 0.5000)
Cs (0.8343, 0.1657, 0.5000)
Cs (0.5000, 0.5000, 0.5000)
Rb (0.0000, 0.0000, 0.0000)
Tl (0.3331, 0.6669, 0.0000)
Tl (0.6669, 0.3331, 0.0000)
I (0.9240, 0.5835, 0.7719)
I (0.7359, 0.7359, 0.2284)
I (0.0760, 0.4165, 0.2281)
I (0.5835, 0.9240, 0.7719)
I (0.2641, 0.2641, 0.7716)
I (0.4165, 0.0760, 0.2281)

Output
- VASP energy: -32.431 eV/cell
- Raw formation energy: -1239 meV/atom


Crystalline LaY2In2 at its relaxed geometry. Source: Alexandria via LeMat-Bulk, functional GGA-PBE.

Cell lengths 3.8190, 5.5031, 14.2532 Å; angles 90.00, 97.70, 90.00 degrees
Fractional coordinates of all 10 atoms:
La (0.8541, 0.7500, 0.7081)
La (0.1459, 0.2500, 0.2919)
Y (0.0498, 0.7500, 0.0995)
Y (0.9502, 0.2500, 0.9005)
Y (0.2360, 0.7500, 0.4721)
Y (0.7640, 0.2500, 0.5279)
In (0.6443, 0.7500, 0.2887)
In (0.3557, 0.2500, 0.7113)
In (0.4553, 0.7500, 0.9105)
In (0.5447, 0.2500, 0.0895)

Output
- Energy relative to the lowest polymorph listed for this composition: 0.006 eV per formula unit
- ΔH_f (0 K): -9.0 kcal/mol of atoms
- VASP energy: -50.560 eV/cell


Crystalline Tm2TcI at its relaxed geometry. Source: Alexandria via LeMat-Bulk, functional GGA-PBE.

Cell lengths 3.7004, 3.7004, 8.9550 Å; angles 78.08, 78.08, 60.00 degrees
Fractional coordinates of all 4 atoms:
I (0.5000, 0.5000, 0.5000)
Tm (0.2634, 0.2634, 0.2097)
Tm (0.7366, 0.7366, 0.7903)
Tc (0.0000, 0.0000, 0.0000)

Output
- Energy relative to the lowest polymorph listed for this composition: 0.411 eV per formula unit
- VASP energy: -22.045 eV/cell
- Raw formation energy: -297 meV/atom


Crystalline AcCoGeN at its relaxed geometry. Source: Alexandria via LeMat-Bulk, functional GGA-PBE.

Cell lengths 3.9778, 3.9778, 8.6987 Å; angles 90.00, 90.00, 90.00 degrees
Fractional coordinates of all 8 atoms:
Ac (0.0000, 0.5000, 0.8376)
Ac (0.5000, 0.0000, 0.1624)
Co (0.0000, 0.0000, 0.5000)
Co (0.5000, 0.5000, 0.5000)
Ge (0.0000, 0.5000, 0.3585)
Ge (0.5000, 0.0000, 0.6415)
N (0.5000, 0.0000, 0.8679)
N (0.0000, 0.5000, 0.1321)

Output
- VASP energy: -54.221 eV/cell
- Raw formation energy: -738 meV/atom


Crystalline RbInHgSe at its relaxed geometry. Source: Alexandria via LeMat-Bulk, functional GGA-PBE.

Cell lengths 5.6561, 5.6561, 5.6561 Å; angles 60.00, 60.00, 60.00 degrees
Fractional coordinates of all 4 atoms:
Se (0.2500, 0.2500, 0.2500)
Hg (0.7500, 0.7500, 0.7500)
Rb (0.0000, 0.0000, 0.0000)
In (0.5000, 0.5000, 0.5000)

Output
- VASP energy: -9.155 eV/cell
- Raw formation energy: -416 meV/atom


Crystalline CaScAs3 at its relaxed geometry. Source: Alexandria via LeMat-Bulk, functional GGA-PBE.

Cell lengths 5.0969, 5.0969, 5.0969 Å; angles 90.00, 90.00, 90.00 degrees
Fractional coordinates of all 5 atoms:
Sc (0.0000, 0.0000, 0.0000)
As (0.0000, 0.5000, 0.0000)
As (0.0000, 0.0000, 0.5000)
As (0.5000, 0.0000, 0.0000)
Ca (0.5000, 0.5000, 0.5000)

Output
- Energy relative to the lowest polymorph listed for this composition: 0.000 eV per formula unit
- ΔH_f (0 K): -9.8 kcal/mol of atoms
- VASP energy: -24.409 eV/cell


Crystalline DyY2Se4 at its relaxed geometry. Source: Alexandria via LeMat-Bulk, functional GGA-PBE.

Cell lengths 4.1006, 7.1540, 7.9841 Å; angles 118.13, 104.88, 90.00 degrees
Fractional coordinates of all 7 atoms:
Dy (0.0000, 0.0000, 0.0000)
Y (0.2661, 0.2557, 0.5323)
Y (0.7339, 0.7443, 0.4677)
Se (0.1223, 0.8021, 0.2445)
Se (0.8777, 0.1979, 0.7555)
Se (0.3653, 0.7205, 0.7307)
Se (0.6347, 0.2795, 0.2693)

Output
- Energy relative to the lowest polymorph listed for this composition: 0.019 eV per formula unit
- VASP energy: -44.333 eV/cell
- Raw formation energy: -1838 meV/atom


Crystalline Ac7Pr2Nd at its relaxed geometry. Source: Alexandria via LeMat-Bulk, functional GGA-PBE.

Cell lengths 6.0916, 9.7112, 9.7112 Å; angles 62.91, 90.00, 90.00 degrees
Last column: magnetic moment on the atom in μB.
Fractional coordinates of all 10 atoms:
Ac (0.0000, 0.2434, 0.2434)  0.00
Ac (0.0000, 0.7566, 0.7566)  0.00
Ac (0.5000, 0.9363, 0.3075)  0.02
Ac (0.5000, 0.0637, 0.6925)  0.02
Ac (0.5000, 0.6925, 0.0637)  0.02
Ac (0.5000, 0.3075, 0.9363)  0.02
Ac (0.5000, 0.5000, 0.5000)  0.01
Pr (0.5000, 0.2993, 0.2993)  0.00
Pr (0.5000, 0.7007, 0.7007)  0.00
Nd (0.0000, 0.0000, 0.0000)  0.17

Output
- ΔH_f (0 K): 13.6 kcal/mol of atoms
- VASP energy: -37.192 eV/cell


Crystalline Ac2Pm8Sm3 at its relaxed geometry. Source: Alexandria via LeMat-Bulk, functional GGA-PBE.

Cell lengths 6.3430, 9.0220, 9.0220 Å; angles 83.44, 72.73, 72.73 degrees
Fractional coordinates of all 13 atoms:
Ac (0.3548, 0.2969, 0.2969)
Ac (0.6452, 0.7031, 0.7031)
Pm (0.2278, 0.5688, 0.5688)
Pm (0.7722, 0.4312, 0.4312)
Pm (0.9598, 0.1509, 0.1509)
Pm (0.0402, 0.8491, 0.8491)
Pm (0.6773, 0.5772, 0.0850)
Pm (0.6773, 0.0850, 0.5772)
Pm (0.3227, 0.9150, 0.4228)
Pm (0.3227, 0.4228, 0.9150)
Sm (0.5000, 0.0000, 0.0000)
Sm (0.0000, 0.2456, 0.7544)
Sm (0.0000, 0.7544, 0.2456)

Output
- Energy relative to the lowest polymorph listed for this composition: 0.000 eV per formula unit
- ΔH_f (0 K): 4.1 kcal/mol of atoms
- VASP energy: -58.066 eV/cell